# 1
# ZrSn2W2

A relaxed ZrSn2W2 crystal (GGA-PBE, Alexandria via LeMat-Bulk).

Cell: 7.841 7.841 3.276 Å, 90.00 90.00 90.00°
Positions (direct):
Zr  0.000  0.000  0.000
Zr  0.500  0.500  0.000
Sn  0.176  0.324  0.500
Sn  0.324  0.824  0.500
Sn  0.676  0.176  0.500
Sn  0.824  0.676  0.500
W  0.117  0.617  0.000
W  0.383  0.117  0.000
W  0.617  0.883  0.000
W  0.883  0.383  0.000

The value obtained for the energy above the lowest structure with this stoichiometry is 0 meV per atom. The value obtained for the total energy is -80.75 eV for the cell shown. The formation energy from the elements is 0.417 eV per atom. Its space-group type is P4/mbm, No. 127.

# 2
# CoNiBr2

A relaxed CoNiBr2 crystal (GGA-PBE, Alexandria via LeMat-Bulk).

Cell: 6.991 6.987 3.582 Å, 90.00 91.07 90.00°
Positions (direct):
Co  0.000  0.000  0.000
Co  0.500  0.500  0.000
Ni  0.000  0.500  0.000
Ni  0.500  0.000  0.000
Br  0.250  0.250  0.000
Br  0.250  0.750  0.000
Br  0.750  0.250  0.000
Br  0.750  0.750  0.000

The value obtained for the energy above the lowest structure with this stoichiometry is 401 meV per atom. The value obtained for the total energy is -28.83 eV for the cell shown. The calculation puts the formation energy (no corrections) at 0.45 eV per atom. Its space-group type is C2/m, No. 12.

# 3
# Ti8Ni2N

A relaxed Ti8Ni2N crystal (GGA-PBE, Alexandria via LeMat-Bulk).

Cell: 7.256 7.256 5.361 Å, 106.21 106.21 36.42°
Positions (direct):
Ti  0.015  0.015  0.263
Ti  0.207  0.207  0.789
Ti  0.363  0.363  0.557
Ti  0.417  0.417  0.098
Ti  0.583  0.583  0.902
Ti  0.637  0.637  0.443
Ti  0.793  0.793  0.211
Ti  0.985  0.985  0.737
Ni  0.187  0.187  0.213
Ni  0.813  0.813  0.787
N  0.500  0.500  0.500

The value obtained for the total energy is -86.24 eV for the cell shown. The calculation puts the formation energy (no corrections) at -0.29 eV per atom. Its space-group type is C2/m, No. 12.